No. 1
# Pa2Ge2Sb

Pa2Ge2Sb after structural relaxation (GGA-PBE, Alexandria). Values from VASP.

Quantum ESPRESSO input file:
```
&SYSTEM
  ibrav = 0, nat = 10, ntyp = 3
/
ATOMIC_SPECIES
Pa 231.04 Pa.upf
Ge 72.64 Ge.upf
Sb 121.76 Sb.upf
CELL_PARAMETERS angstrom
-0.401 -4.068 4.176
-2.085 -0.047 -5.459
9.417 -1.919 -2.447
ATOMIC_POSITIONS crystal
Pa 0.436 0.564 0.500
Pa 0.186 0.814 0.000
Pa 0.064 0.936 0.500
Pa 0.814 0.186 0.000
Ge 0.125 0.375 0.750
Ge 0.625 0.375 0.250
Ge 0.625 0.375 0.750
Ge 0.625 0.875 0.250
Sb 0.750 0.250 0.500
Sb 0.500 0.500 0.000
```

Computed properties:
For the formation energy from raw total energies, the calculation gives 168 meV/atom. As for the density of states at the Fermi level: 1.63 states/eV/atom.

***

No. 2
# Pa3Ge2Sb2

Pa3Ge2Sb2 after structural relaxation (GGA-PBE, Alexandria). Values from VASP.

Quantum ESPRESSO input file:
```
&SYSTEM
  ibrav = 0, nat = 7, ntyp = 3
/
ATOMIC_SPECIES
Pa 231.04 Pa.upf
Ge 72.64 Ge.upf
Sb 121.76 Sb.upf
CELL_PARAMETERS angstrom
4.615 0.000 -0.997
-0.201 3.838 -0.930
-0.295 0.326 9.815
ATOMIC_POSITIONS crystal
Pa 0.000 0.000 0.000
Pa 0.680 0.180 0.361
Pa 0.320 0.820 0.639
Ge 0.564 0.564 0.127
Ge 0.436 0.436 0.873
Sb 0.154 0.654 0.307
Sb 0.846 0.346 0.693
```

Computed properties:
For the formation energy from raw total energies, the calculation gives -264 meV/atom. As for the density of states at the Fermi level: 1.75 states/eV/atom.

***

No. 3
# Pa4GeSb3

Pa4GeSb3 after structural relaxation (GGA-PBE, Alexandria). Values from VASP.

Quantum ESPRESSO input file:
```
&SYSTEM
  ibrav = 0, nat = 16, ntyp = 3
/
ATOMIC_SPECIES
Sb 121.76 Sb.upf
Ge 72.64 Ge.upf
Pa 231.04 Pa.upf
CELL_PARAMETERS angstrom
7.437 0.052 0.000
-2.541 7.032 0.000
0.000 0.000 8.614
ATOMIC_POSITIONS crystal
Sb 0.750 0.000 0.376
Sb 0.250 0.000 0.624
Sb 0.750 0.500 0.624
Sb 0.750 0.500 0.124
Sb 0.250 0.500 0.376
Sb 0.250 0.500 0.876
Ge 0.750 0.000 0.876
Ge 0.250 0.000 0.124
Pa 0.991 0.241 0.635
Pa 0.500 0.233 0.883
Pa 0.491 0.241 0.365
Pa 0.000 0.233 0.117
Pa 0.000 0.767 0.883
Pa 0.509 0.759 0.635
Pa 0.500 0.767 0.117
Pa 0.009 0.759 0.365
```

Computed properties:
For the formation energy from raw total energies, the calculation gives -443 meV/atom. As for the density of states at the Fermi level: 1.53 states/eV/atom.